(1)
Here is a relaxed structure of AgGe2Ir from Alexandria via LeMat-Bulk. Energies are from GGA-PBE.

- total magnetization (μB per atom) = 0.00
- ΔE to the lowest computed polymorph (meV/atom) = 0.0
- final energy (eV/atom) = -5.208
- energy relative to the elements (kJ/mol of atoms) = 2.8

Geometry as POSCAR:
```
AgGe2Ir
1.0
-3.012 0.386 -0.297
-1.806 -2.409 -0.493
-2.604 -1.719 8.495
Ag Ir Ge
1 1 2
direct
0.000 0.000 0.000 Ag
0.500 0.500 0.500 Ir
0.096 0.096 0.712 Ge
0.904 0.904 0.288 Ge
```

***

(2)
Here is a relaxed structure of AgGe2Ir from Alexandria via LeMat-Bulk. Energies are from GGA-PBE.

- total magnetization (μB per atom) = 0.00
- ΔE to the lowest computed polymorph (meV/atom) = 265.5
- final energy (eV/atom) = -4.942
- energy relative to the elements (kJ/mol of atoms) = 28.4

Geometry as POSCAR:
```
AgGe2Ir
1.0
6.082 0.000 0.000
0.000 6.082 0.000
3.041 3.041 5.068
Ir Ge Ag
2 4 2
direct
0.000 0.000 0.000 Ir
0.750 0.250 0.500 Ir
0.092 0.625 0.250 Ge
0.875 0.908 0.750 Ge
0.375 0.342 0.750 Ge
0.658 0.125 0.250 Ge
0.500 0.500 0.000 Ag
0.250 0.750 0.500 Ag
```

***

(3)
Here is a relaxed structure of AgGeIr2 from Alexandria via LeMat-Bulk. Energies are from GGA-PBE.

- total magnetization (μB per atom) = 0.00
- final energy (eV/atom) = -5.948
- energy relative to the elements (kJ/mol of atoms) = 33.7

Geometry as POSCAR:
```
AgGeIr2
1.0
7.211 0.000 0.000
0.000 7.211 0.000
3.605 3.605 2.608
Ge Ir Ag
2 4 2
direct
0.250 0.750 0.500 Ge
0.500 0.500 0.000 Ge
0.375 0.423 0.750 Ir
0.875 0.827 0.750 Ir
0.577 0.125 0.250 Ir
0.173 0.625 0.250 Ir
0.750 0.250 0.500 Ag
0.000 0.000 0.000 Ag
```

***

(4)
Here is a relaxed structure of AgGe2Ir from Alexandria via LeMat-Bulk. Energies are from GGA-PBE.

- total magnetization (μB per atom) = 0.00
- ΔE to the lowest computed polymorph (meV/atom) = 163.5
- final energy (eV/atom) = -5.044
- energy relative to the elements (kJ/mol of atoms) = 18.6

Geometry as POSCAR:
```
AgGe2Ir
1.0
-2.355 -3.192 2.161
-4.267 0.798 1.250
-3.400 -2.109 -2.098
Ag Ge Ir
1 2 1
direct
0.000 0.000 0.000 Ag
0.750 0.750 0.750 Ge
0.250 0.250 0.250 Ge
0.500 0.500 0.500 Ir
```

***

(5)
Here is a relaxed structure of Ag2Ge2Ir from Alexandria via LeMat-Bulk. Energies are from GGA-PBE.

- total magnetization (μB per atom) = 0.00
- final energy (eV/atom) = -4.644
- energy relative to the elements (kJ/mol of atoms) = 11.2

Geometry as POSCAR:
```
Ag2Ge2Ir
1.0
6.408 0.000 0.000
0.000 6.408 0.000
0.000 0.000 4.289
Ag Ge Ir
4 4 2
direct
0.675 0.825 0.500 Ag
0.325 0.175 0.500 Ag
0.825 0.325 0.500 Ag
0.175 0.675 0.500 Ag
0.139 0.361 0.000 Ge
0.639 0.139 0.000 Ge
0.861 0.639 0.000 Ge
0.361 0.861 0.000 Ge
0.000 0.000 0.000 Ir
0.500 0.500 0.000 Ir
```

***

(6)
Here is a relaxed structure of AgGe3Ir from Alexandria via LeMat-Bulk. Energies are from GGA-PBE.

- total magnetization (μB per atom) = 0.00
- ΔE to the lowest computed polymorph (meV/atom) = 0.0
- final energy (eV/atom) = -4.700
- energy relative to the elements (kJ/mol of atoms) = 39.9

Geometry as POSCAR:
```
AgGe3Ir
1.0
4.838 0.000 0.000
0.000 4.838 0.000
0.000 0.000 4.838
Ge Ir Ag
3 1 1
direct
0.000 0.000 0.500 Ge
0.500 0.000 0.000 Ge
0.000 0.500 0.000 Ge
0.000 0.000 0.000 Ir
0.500 0.500 0.500 Ag
```